(1)
VASP calculation (PBE-GGA) on crystalline Nd2GaO at its relaxed geometry.

The structure in CIF format:
```
data_Nd2GaO
_cell_length_a 3.205
_cell_length_b 3.205
_cell_length_c 7.660
_cell_angle_alpha 90.00
_cell_angle_beta 90.00
_cell_angle_gamma 90.00
_symmetry_space_group_name_H-M 'P 4/m m m'
_symmetry_Int_Tables_number 123
_symmetry_space_group_name_Hall '-P 4 2'
loop_
_atom_site_label
_atom_site_type_symbol
_atom_site_fract_x
_atom_site_fract_y
_atom_site_fract_z
_atom_site_occupancy
Nd1 Nd 0.000 0.000 0.209 1
Ga1 Ga 0.500 0.500 0.500 1
O1 O 0.500 0.500 0.000 1
```

Summary:
relative energy among the computed polymorphs: 327.5 meV/atom
DFT total energy: -5.601 eV/atom
ΔE_f (raw): -28.2 kcal/mol of atoms
magnetic moment: 0.00 μB per formula unit

---

(2)
VASP calculation (PBE-GGA) on crystalline PrNd5Ho5 at its relaxed geometry.

The structure in CIF format:
```
data_PrNd5Ho5
_cell_length_a 19.032
_cell_length_b 6.028
_cell_length_c 7.050
_cell_angle_alpha 90.00
_cell_angle_beta 111.52
_cell_angle_gamma 90.00
_symmetry_space_group_name_H-M 'C 1 2/m 1'
_symmetry_Int_Tables_number 12
_symmetry_space_group_name_Hall '-C 2y'
loop_
_atom_site_label
_atom_site_type_symbol
_atom_site_fract_x
_atom_site_fract_y
_atom_site_fract_z
_atom_site_occupancy
Pr1 Pr 0.000 0.000 0.000 1
Nd1 Nd 0.000 0.500 0.000 1
Nd2 Nd 0.177 0.000 0.421 1
Nd3 Nd 0.177 0.000 0.933 1
Ho1 Ho 0.000 0.000 0.500 1
Ho2 Ho 0.123 0.500 0.625 1
Ho3 Ho 0.170 0.500 0.171 1
```

Summary:
relative energy among the computed polymorphs: 0.0 meV/atom
DFT total energy: -4.429 eV/atom
magnetic moment: 0.39 μB per formula unit
E_form: 269 kJ/mol of formula units